First-principles (GGA+U) data for Li10Mn3Cr2Ni3O16 after structural relaxation, as listed in Alexandria.

a b c (Å): 5.9606 5.9606 9.7842
angles (deg): 91.11 91.11 59.94
Atoms (fractional coordinates):
Li  0.0000  0.0000  0.0000
Li  0.0020  0.0020  0.4993
Li  0.1891  0.6233  0.0746
Li  0.2046  0.2046  0.0580
Li  0.3368  0.3368  0.2850
Li  0.4065  0.8214  0.5575
Li  0.6233  0.1891  0.0746
Li  0.6740  0.6740  0.7859
Li  0.8131  0.8131  0.5698
Li  0.8214  0.4065  0.5575
Mn  0.1768  0.6671  0.7996
Mn  0.6671  0.1768  0.7996
Mn  0.8279  0.8279  0.2994
Cr  0.3352  0.3352  0.5408
Cr  0.6631  0.6631  0.0443
Ni  0.1730  0.1730  0.7971
Ni  0.3341  0.8318  0.2988
Ni  0.8318  0.3341  0.2988
O  0.0329  0.5011  0.6739
O  0.1491  0.6696  0.4167
O  0.1660  0.1660  0.4329
O  0.3313  0.8352  0.9225
O  0.3467  0.3467  0.9102
O  0.5011  0.0329  0.6739
O  0.5032  0.5032  0.6570
O  0.5091  0.5091  0.1711
O  0.5182  0.9773  0.1767
O  0.6696  0.1491  0.4167
O  0.6779  0.6779  0.4136
O  0.8283  0.8283  0.9309
O  0.8352  0.3313  0.9225
O  0.9773  0.5182  0.1767
O  0.9854  0.9854  0.1911
O  0.9936  0.9936  0.6947

Its total DFT energy (no corrections) is -200.637 eV per cell. Its spin magnetization is 23.000 μB per cell.